A relaxed LaCdGePd crystal. Source: Alexandria via LeMat-Bulk, functional GGA-PBE.

Cell and atoms, written as POSCAR:
```
LaCdGePd
1.0
7.0721 0.0000 0.0000
0.0000 7.0721 0.0000
0.0000 0.0000 7.0721
La Cd Ge Pd
4 4 4 4
Cartesian
0.0000 0.0000 0.0000 La
0.0000 3.5360 3.5360 La
3.5360 0.0000 3.5360 La
3.5360 3.5360 0.0000 La
0.0000 0.0000 3.5360 Cd
0.0000 3.5360 0.0000 Cd
3.5360 0.0000 0.0000 Cd
3.5360 3.5360 3.5360 Cd
1.7680 1.7680 1.7680 Ge
1.7680 5.3041 5.3041 Ge
5.3041 1.7680 5.3041 Ge
5.3041 5.3041 1.7680 Ge
1.7680 1.7680 5.3041 Pd
1.7680 5.3041 1.7680 Pd
5.3041 1.7680 1.7680 Pd
5.3041 5.3041 5.3041 Pd
```

The space group is F-43m. As for the volume: 88.43 Å³/f.u. The calculation puts the total DFT energy (no corrections) at -70.99 eV per cell.

A relaxed LiTiTlNi crystal. Source: Alexandria via LeMat-Bulk, functional GGA-PBE.

Cell and atoms, written as POSCAR:
```
LiTiTlNi
1.0
6.2213 0.0000 0.0000
0.0000 6.2213 0.0000
0.0000 0.0000 6.2213
Li Ti Tl Ni
4 4 4 4
Cartesian
0.0000 0.0000 0.0000 Li
0.0000 3.1106 3.1106 Li
3.1106 0.0000 3.1106 Li
3.1106 3.1106 0.0000 Li
1.5553 1.5553 1.5553 Ti
1.5553 4.6659 4.6659 Ti
4.6659 1.5553 4.6659 Ti
4.6659 4.6659 1.5553 Ti
1.5553 1.5553 4.6659 Tl
1.5553 4.6659 1.5553 Tl
4.6659 1.5553 1.5553 Tl
4.6659 4.6659 4.6659 Tl
0.0000 0.0000 3.1106 Ni
0.0000 3.1106 0.0000 Ni
3.1106 0.0000 0.0000 Ni
3.1106 3.1106 3.1106 Ni
```

The space group is F-43m. As for the volume: 60.20 Å³/f.u. The calculation puts the total DFT energy (no corrections) at -74.13 eV per cell.

A relaxed LiSm12Co6 crystal. Source: Alexandria via LeMat-Bulk, functional GGA-PBE.

Cell and atoms, written as POSCAR:
```
LiSm12Co6
1.0
-4.9575 4.9575 4.9575
4.9575 -4.9575 4.9575
4.9575 4.9575 -4.9575
Li Sm Co
1 12 6
Cartesian
0.0000 0.0000 0.0000 Li
4.9575 -1.9073 3.0176 Sm
3.0503 1.9400 0.0000 Sm
6.8648 1.9400 0.0000 Sm
3.0176 4.9575 -1.9073 Sm
1.9400 0.0000 3.0503 Sm
4.9575 1.9073 3.0176 Sm
0.0000 3.0503 1.9400 Sm
3.0176 4.9575 1.9073 Sm
1.9400 0.0000 6.8648 Sm
-1.9073 3.0176 4.9575 Sm
1.9073 3.0176 4.9575 Sm
0.0000 6.8648 1.9400 Sm
4.9575 0.0000 1.1077 Co
4.9575 3.8499 0.0000 Co
1.1077 4.9575 0.0000 Co
3.8499 0.0000 4.9575 Co
0.0000 1.1077 4.9575 Co
0.0000 4.9575 3.8499 Co
```

The space group is Im-3. As for the volume: 487.37 Å³/f.u. The calculation puts the total DFT energy (no corrections) at -103.15 eV per cell.

A relaxed CsCuCl3 crystal. Source: Alexandria via LeMat-Bulk, functional GGA-PBE.

Cell and atoms, written as POSCAR:
```
CsCuCl3
1.0
7.3227 0.0000 0.0000
-3.6614 6.3416 0.0000
0.0000 0.0000 6.0371
Cs Cu Cl
2 2 6
Cartesian
0.0000 4.2278 0.0000 Cs
3.6614 2.1139 3.0185 Cs
0.0000 0.0000 1.5165 Cu
0.0000 0.0000 4.5350 Cu
0.0000 1.9388 3.0267 Cl
-1.9823 5.3723 3.0267 Cl
1.6790 0.9694 0.0082 Cl
1.9823 5.3723 3.0267 Cl
5.6437 0.9694 0.0082 Cl
3.6614 4.4029 0.0082 Cl
```

The space group is P6_3mc. The uncorrected formation energy comes out at -106 kJ/mol of atoms. As for the volume: 140.17 Å³/f.u.

A relaxed Tb4Nd3Te8 crystal. Source: Alexandria via LeMat-Bulk, functional GGA-PBE.

Cell and atoms, written as POSCAR:
```
Tb4Nd3Te8
1.0
6.2450 -6.2484 0.0000
6.2450 6.2484 0.0000
-6.2295 0.0000 6.2515
Tb Nd Te
4 3 8
Cartesian
0.0000 0.0000 0.0000 Tb
-3.1148 0.0000 3.1257 Tb
3.1225 3.1242 0.0000 Tb
3.1225 -3.1242 0.0000 Tb
0.0077 3.1242 3.1257 Nd
0.0077 -3.1242 3.1257 Nd
3.1303 0.0000 3.1257 Nd
3.1303 3.1653 3.1257 Te
-0.0338 0.0000 3.1594 Te
-3.0685 0.0000 6.2109 Te
6.2450 3.0876 0.0000 Te
6.2450 -3.0876 0.0000 Te
9.3291 0.0000 0.0406 Te
6.2944 0.0000 3.0920 Te
3.1303 -3.1653 3.1257 Te
```

The space group is C2/m. The uncorrected formation energy comes out at -136 kJ/mol of atoms. As for the volume: 487.88 Å³/f.u.

A relaxed CaSm2Lu crystal. Source: Alexandria via LeMat-Bulk, functional GGA-PBE.

Cell and atoms, written as POSCAR:
```
CaSm2Lu
1.0
4.0098 0.0000 0.0000
0.0000 4.0098 0.0000
0.0000 0.0000 8.6974
Ca Sm Lu
1 2 1
Cartesian
0.0000 0.0000 0.0000 Ca
2.0049 2.0049 2.4679 Sm
2.0049 2.0049 6.2296 Sm
0.0000 0.0000 4.3487 Lu
```

The space group is P4/mmm. Its energy above the most stable polymorph in this dataset is 0.00 eV/f.u. As for the volume: 139.84 Å³/f.u.

A relaxed La2ZrHgC crystal. Source: Alexandria via LeMat-Bulk, functional GGA-PBE.

Cell and atoms, written as POSCAR:
```
La2ZrHgC
1.0
5.3222 0.0000 0.0000
0.0000 5.3222 0.0000
0.0000 0.0000 4.5075
La Zr Hg C
2 1 1 1
Cartesian
0.0000 2.6611 0.0000 La
2.6611 0.0000 0.0000 La
0.0000 0.0000 2.2538 Zr
2.6611 2.6611 2.2538 Hg
0.0000 0.0000 0.0000 C
```

The space group is P4/mmm. As for the volume: 127.68 Å³/f.u. The calculation puts the total DFT energy (no corrections) at -29.05 eV per cell.

A relaxed IrRuPt14 crystal. Source: Alexandria via LeMat-Bulk, functional GGA-PBE.

Cell and atoms, written as POSCAR:
```
IrRuPt14
1.0
9.2224 0.0000 0.0000
0.0000 2.7916 4.8275
0.0000 -2.7916 4.8275
Ir Ru Pt
1 1 14
Cartesian
0.0000 0.0000 0.0000 Ir
0.0000 0.0000 4.8249 Ru
0.0000 -1.3955 2.4200 Pt
0.0000 1.3955 2.4200 Pt
2.2470 -1.3918 5.6213 Pt
2.2470 1.3918 5.6213 Pt
2.2819 0.0000 3.2284 Pt
2.2938 0.0000 8.0517 Pt
4.6112 0.0000 1.6147 Pt
4.6112 -1.3949 4.0347 Pt
4.6112 0.0000 6.4430 Pt
4.6112 1.3949 4.0347 Pt
6.9287 0.0000 8.0517 Pt
6.9405 0.0000 3.2284 Pt
6.9754 -1.3918 5.6213 Pt
6.9754 1.3918 5.6213 Pt
```

The space group is Amm2. As for the volume: 248.58 Å³/f.u. The calculation puts the total DFT energy (no corrections) at -102.09 eV per cell.

Q: Which formula does entry 2 have?
A: LiTiTlNi